(1)
DFT (PBE) results for FeRe3 after structural relaxation.

Summary:
symmetry: Pm-3m (221)
energy relative to the elements: 58.96 kcal/mol of atoms

abc: 4.4173 4.4173 4.4173
angles: 90.00 90.00 90.00
Sites, in units of the cell vectors:
Fe (0.0000, 0.0000, 0.0000)
Re (0.0000, 0.0000, 0.5000)
Re (0.0000, 0.5000, 0.0000)
Re (0.5000, 0.0000, 0.0000)

(2)
DFT (PBE) results for TlCd2CoRu after structural relaxation.

Summary:
symmetry: P4/mmm (123)
energy relative to the elements: 25.68 kcal/mol of atoms

abc: 5.1640 5.1640 5.1651
angles: 90.00 90.00 90.00
Sites, in units of the cell vectors:
Tl (0.0000, 0.0000, 0.0000)
Cd (0.0000, 0.5000, 0.5000)
Cd (0.5000, 0.0000, 0.5000)
Co (0.5000, 0.5000, 0.0000)
Ru (0.0000, 0.0000, 0.5000)

(3)
DFT (PBE) results for Ac5Co2 after structural relaxation.

Summary:
symmetry: C2/c (15)
energy relative to the elements: -0.45 kcal/mol of atoms

abc: 9.6328 9.6328 7.5562
angles: 95.34 95.34 41.40
Sites, in units of the cell vectors:
Ac (0.0637, 0.9363, 0.7500)
Ac (0.1398, 0.2769, 0.3229)
Ac (0.2769, 0.1398, 0.8229)
Ac (0.3175, 0.4891, 0.0894)
Ac (0.4891, 0.3175, 0.5894)
Ac (0.5109, 0.6825, 0.4106)
Ac (0.6825, 0.5109, 0.9106)
Ac (0.7231, 0.8602, 0.1771)
Ac (0.8602, 0.7231, 0.6771)
Ac (0.9363, 0.0637, 0.2500)
Co (0.0940, 0.6876, 0.4169)
Co (0.3124, 0.9060, 0.0831)
Co (0.6876, 0.0940, 0.9169)
Co (0.9060, 0.3124, 0.5831)

(4)
DFT (PBE) results for KRhPbS2 after structural relaxation.

Summary:
symmetry: P4/mmm (123)
energy relative to the elements, uncorrected: 31.7 kJ per mole of atoms

abc: 5.3802 5.3802 5.1389
angles: 90.00 90.00 90.00
Sites, in units of the cell vectors:
K (0.0000, 0.0000, 0.0000)
Rh (0.5000, 0.5000, 0.0000)
Pb (0.5000, 0.5000, 0.5000)
S (0.0000, 0.5000, 0.5000)
S (0.5000, 0.0000, 0.5000)

(5)
DFT (PBE) results for KCrIr2 after structural relaxation.

Summary:
symmetry: P4mm (99)
energy relative to the elements: 14.53 kcal/mol of atoms
distance to the lowest polymorph of the same formula: 299 meV/atom

abc: 2.8188 2.8188 9.5225
angles: 90.00 90.00 90.00
Sites, in units of the cell vectors:
K (0.0000, 0.0000, 0.0000)
Cr (0.5000, 0.5000, 0.3405)
Ir (0.0000, 0.0000, 0.5236)
Ir (0.5000, 0.5000, 0.7172)

(6)
DFT (PBE) results for Tc3TeF after structural relaxation.

Summary:
symmetry: Pm-3m (221)
energy relative to the elements, uncorrected: 176.0 kJ per mole of atoms
distance to the lowest polymorph of the same formula: 858 meV/atom

abc: 5.0185 5.0185 5.0185
angles: 90.00 90.00 90.00
Sites, in units of the cell vectors:
Tc (0.0000, 0.0000, 0.5000)
Tc (0.0000, 0.5000, 0.0000)
Tc (0.5000, 0.0000, 0.0000)
Te (0.0000, 0.0000, 0.0000)
F (0.5000, 0.5000, 0.5000)

(7)
DFT (PBE) results for Sm3Mg after structural relaxation.

Summary:
symmetry: Fm-3m (225)
energy relative to the elements: 1.26 kcal/mol of atoms

abc: 5.6064 5.6064 5.6064
angles: 60.00 60.00 60.00
Sites, in units of the cell vectors:
Sm (0.0000, 0.0000, 0.0000)
Sm (0.2500, 0.2500, 0.2500)
Sm (0.7500, 0.7500, 0.7500)
Mg (0.5000, 0.5000, 0.5000)

(8)
DFT (PBE) results for Rb2Na4Te after structural relaxation.

Summary:
symmetry: I4/mmm (139)
energy relative to the elements, uncorrected: -23.1 kJ per mole of atoms

abc: 12.7509 12.7509 12.7509
angles: 153.00 153.00 38.55
Sites, in units of the cell vectors:
Rb (0.1895, 0.1895, 0.0000)
Rb (0.8105, 0.8105, 0.0000)
Na (0.0000, 0.5000, 0.5000)
Na (0.3709, 0.3709, 0.0000)
Na (0.5000, 0.0000, 0.5000)
Na (0.6291, 0.6291, 0.0000)
Te (0.5000, 0.5000, 0.0000)

(9)
DFT (PBE) results for AcBiH2 after structural relaxation.

Summary:
symmetry: R-3m (166)
distance to the lowest polymorph of the same formula: 0 meV/atom

abc: 6.5554 6.5554 6.5554
angles: 35.70 35.70 35.70
Sites, in units of the cell vectors:
Ac (0.0000, 0.0000, 0.0000)
Bi (0.5000, 0.5000, 0.5000)
H (0.3032, 0.3032, 0.3032)
H (0.6968, 0.6968, 0.6968)

(10)
DFT (PBE) results for NiPPdCl2 after structural relaxation.

Summary:
symmetry: P4/mmm (123)
energy relative to the elements, uncorrected: 36.1 kJ per mole of atoms
distance to the lowest polymorph of the same formula: 0 meV/atom

abc: 4.6373 4.6373 4.3948
angles: 90.00 90.00 90.00
Sites, in units of the cell vectors:
Ni (0.0000, 0.0000, 0.0000)
P (0.0000, 0.0000, 0.5000)
Pd (0.5000, 0.5000, 0.5000)
Cl (0.0000, 0.5000, 0.0000)
Cl (0.5000, 0.0000, 0.0000)